Entry 1:
# SiAsBr

A relaxed structure of SiAsBr (PBE-GGA, Alexandria).

a = 6.258 Å, b = 3.970 Å, c = 14.377 Å
α = 90.00°, β = 90.05°, γ = 90.00°
Sites, in units of the cell vectors:
As 0.564 0.500 0.733
As 0.564 0.000 0.233
As 0.689 0.500 0.334
As 0.689 0.000 0.834
Si 0.181 0.500 0.697
Si 0.181 0.000 0.197
Si 0.966 0.000 0.712
Si 0.966 0.500 0.212
Br 0.795 0.500 0.071
Br 0.268 0.000 0.043
Br 0.795 0.000 0.571
Br 0.268 0.500 0.543

## Properties
The electronic total energy comes out at -4.05 eV/atom. The total magnetic moment is 0.0 μB per formula unit. Its crystal system is monoclinic. The value obtained for the raw formation energy is -13.3 kJ/mol of atoms. As for the space group: Cm, No. 8. As for the energy above the most stable polymorph in this dataset: 0.1910 eV per atom.

Entry 2:
# Sm6Si2AsBr3

A relaxed structure of Sm6Si2AsBr3 (PBE-GGA, Alexandria).

a = 4.228 Å, b = 8.687 Å, c = 9.663 Å
α = 105.22°, β = 102.64°, γ = 90.00°
Sites, in units of the cell vectors:
Sm 0.988 0.768 0.976
Sm 0.676 0.561 0.351
Sm 0.661 0.112 0.322
Sm 0.012 0.232 0.024
Sm 0.339 0.888 0.678
Sm 0.324 0.439 0.649
Br 0.166 0.833 0.331
Br 0.834 0.167 0.669
Br 0.500 0.500 0.000
As 0.500 0.000 0.000
Si 0.167 0.334 0.334
Si 0.833 0.666 0.666

## Properties
The electronic total energy comes out at -5.25 eV/atom. The total magnetic moment is 0.0 μB per formula unit. Its crystal system is monoclinic. The value obtained for the raw formation energy is -114.2 kJ/mol of atoms. For the density of states at the Fermi level, the calculation gives 5.4 states/eV per cell. As for the space group: C2/m, No. 12.

Entry 3:
# Sm4SiAsBr2

A relaxed structure of Sm4SiAsBr2 (PBE-GGA, Alexandria).

a = 4.222 Å, b = 7.321 Å, c = 7.603 Å
α = 108.68°, β = 90.00°, γ = 90.00°
Sites, in units of the cell vectors:
Br 0.500 0.000 0.500
Br 0.000 0.500 0.500
Sm 0.000 0.742 0.207
Sm 0.500 0.229 0.208
Sm 0.500 0.771 0.792
Sm 0.000 0.258 0.793
Si 0.000 0.000 0.000
As 0.500 0.500 0.000

## Properties
The electronic total energy comes out at -5.28 eV/atom. The total magnetic moment is 0.0 μB per formula unit. Its crystal system is monoclinic. The value obtained for the raw formation energy is -120.0 kJ/mol of atoms. For the density of states at the Fermi level, the calculation gives 3.5 states/eV per cell. As for the space group: P2/m, No. 10.

Entry 4:
# Sm8Si3AsBr4

A relaxed structure of Sm8Si3AsBr4 (PBE-GGA, Alexandria).

a = 8.441 Å, b = 8.728 Å, c = 8.439 Å
α = 118.90°, β = 120.01°, γ = 90.00°
Sites, in units of the cell vectors:
Sm 0.238 0.707 0.477
Sm 0.238 0.707 0.969
Sm 0.736 0.708 0.472
Sm 0.762 0.293 0.523
Sm 0.730 0.707 0.969
Sm 0.270 0.293 0.031
Sm 0.762 0.293 0.031
Sm 0.264 0.292 0.528
Br 0.000 0.000 0.500
Br 0.500 0.000 0.000
Br 0.500 0.000 0.500
Br 0.000 0.000 0.000
Si 0.000 0.500 0.500
Si 0.500 0.500 0.500
Si 0.500 0.500 0.000
As 0.000 0.500 0.000

## Properties
The electronic total energy comes out at -5.24 eV/atom. The total magnetic moment is 0.0 μB per formula unit. Its crystal system is trigonal. The value obtained for the raw formation energy is -111.6 kJ/mol of atoms. For the density of states at the Fermi level, the calculation gives 7.7 states/eV per cell. As for the space group: R-3m, No. 166.